# 1
{
  "formula": "Sb2Te",
  "functional": "PBE-GGA",
  "state": "optimized geometry",
  "formation_energy_uncorrected_mev_per_atom": 23,
  "lattice_angstrom": [[-1.664, -3.129, -5.325], [-3.500, -0.137, 5.353], [-0.278, 6.141, -1.769]],
  "species": ["Sb", "Sb", "Sb", "Sb", "Te", "Te"],
  "frac_coords": [[0.125, 0.875, 0.250], [0.625, 0.875, 0.750], [0.125, 0.375, 0.250], [0.125, 0.875, 0.750], [0.750, 0.250, 0.500], [0.500, 0.500, 0.000]]
}

***

# 2
{
  "formula": "PaAl2GaNi4",
  "functional": "PBE-GGA",
  "state": "optimized geometry",
  "delta_e_f_ev_per_fu": -3.82,
  "lattice_angstrom": [[-2.984, 2.554, 1.012], [-3.268, 0.344, -2.377], [-5.750, -4.974, 3.725]],
  "species": ["Pa", "Al", "Al", "Ga", "Ni", "Ni", "Ni", "Ni"],
  "frac_coords": [[0.000, 0.000, 0.000], [0.761, 0.761, 0.718], [0.239, 0.239, 0.282], [0.500, 0.500, 0.500], [0.399, 0.399, 0.802], [0.868, 0.868, 0.396], [0.132, 0.132, 0.604], [0.601, 0.601, 0.198]]
}

***

# 3
{
  "formula": "NbTl2I2",
  "functional": "PBE-GGA",
  "state": "optimized geometry",
  "formation_energy_uncorrected_mev_per_atom": 511,
  "lattice_angstrom": [[-4.134, 2.900, -6.180], [-6.825, -1.903, 3.673], [-0.092, 4.736, 2.284]],
  "species": ["I", "I", "I", "I", "Tl", "Tl", "Tl", "Tl", "Nb", "Nb"],
  "frac_coords": [[0.179, 0.679, 0.500], [0.679, 0.821, 0.500], [0.821, 0.321, 0.500], [0.321, 0.179, 0.500], [0.349, 0.849, 0.000], [0.849, 0.651, 0.000], [0.651, 0.151, 0.000], [0.151, 0.349, 0.000], [0.000, 0.000, 0.000], [0.500, 0.500, 0.000]]
}

***

# 4
{
  "formula": "NbTeS2",
  "functional": "PBE-GGA",
  "state": "optimized geometry",
  "formation_energy_uncorrected_mev_per_atom": -585,
  "lattice_angstrom": [[-0.341, 2.985, -1.519], [-3.490, -4.534, -4.392], [-6.446, 1.226, 3.857]],
  "species": ["Nb", "Nb", "Te", "Te", "S", "S", "S", "S"],
  "frac_coords": [[0.259, 0.518, 0.250], [0.741, 0.482, 0.750], [0.927, 0.854, 0.250], [0.073, 0.146, 0.750], [0.332, 0.664, 0.567], [0.668, 0.336, 0.433], [0.668, 0.336, 0.067], [0.332, 0.664, 0.933]]
}

***

# 5
{
  "formula": "LiTmPuN3",
  "functional": "PBE-GGA",
  "state": "optimized geometry",
  "formation_energy_uncorrected_mev_per_atom": -1015,
  "lattice_angstrom": [[-2.410, 2.067, 1.153], [-1.220, -4.374, 5.290], [4.714, 4.050, 2.593]],
  "species": ["Li", "Li", "Tm", "Tm", "Pu", "Pu", "N", "N", "N", "N", "N", "N"],
  "frac_coords": [[0.250, 0.074, 0.579], [0.750, 0.926, 0.421], [0.750, 0.823, 0.790], [0.250, 0.177, 0.210], [0.250, 0.674, 0.182], [0.750, 0.326, 0.818], [0.250, 0.788, 0.488], [0.750, 0.890, 0.138], [0.750, 0.407, 0.133], [0.750, 0.212, 0.512], [0.250, 0.593, 0.867], [0.250, 0.110, 0.862]]
}

***

# 6
{
  "formula": "CdSb2Se2",
  "functional": "PBE-GGA",
  "state": "optimized geometry",
  "formation_energy_uncorrected_mev_per_atom": -32,
  "lattice_angstrom": [[8.564, 0.000, 0.000], [0.000, 8.564, 0.000], [0.000, 0.000, 3.921]],
  "species": ["Sb", "Sb", "Sb", "Sb", "Se", "Se", "Se", "Se", "Cd", "Cd"],
  "frac_coords": [[0.295, 0.795, 0.000], [0.795, 0.705, 0.000], [0.705, 0.205, 0.000], [0.205, 0.295, 0.000], [0.144, 0.644, 0.500], [0.644, 0.856, 0.500], [0.856, 0.356, 0.500], [0.356, 0.144, 0.500], [0.000, 0.000, 0.000], [0.500, 0.500, 0.000]]
}

***

# 7
{
  "formula": "Be2VNi",
  "functional": "PBE-GGA",
  "state": "optimized geometry",
  "delta_e_f_ev_per_fu": -0.56,
  "lattice_angstrom": [[-3.330, -1.244, -1.436], [-2.066, -2.596, 1.922], [-3.303, 1.023, 1.656]],
  "species": ["Ni", "Be", "Be", "V"],
  "frac_coords": [[0.500, 0.500, 0.500], [0.250, 0.250, 0.250], [0.750, 0.750, 0.750], [0.000, 0.000, 0.000]]
}

***

# 8
{
  "formula": "Si3AgS",
  "functional": "PBE-GGA",
  "state": "optimized geometry",
  "formation_energy_uncorrected_mev_per_atom": 1147,
  "lattice_angstrom": [[4.822, 0.000, 0.000], [0.000, 4.822, 0.000], [0.000, 0.000, 4.822]],
  "species": ["S", "Si", "Si", "Si", "Ag"],
  "frac_coords": [[0.500, 0.500, 0.500], [0.000, 0.500, 0.000], [0.000, 0.000, 0.500], [0.500, 0.000, 0.000], [0.000, 0.000, 0.000]]
}